Material: ThSc3Os
Method: DFT, PBE
State: optimized geometry

The structure belongs to space group Pnma (No. 62); the cell edges are 9.721, 3.893 and 12.832 Å and the angles 90.00°, 90.00° and 90.00°. The distinct sites, in fractional coordinates, are Th at (0.173, 0.250, 0.021), Sc at (0.042, 0.250, 0.412), Sc at (0.076, 0.750, 0.223), Sc at (0.178, 0.750, 0.775) and Os at (0.153, 0.250, 0.623).

As for the formation enthalpy at 0 K: -0.19 eV/atom. The total energy is -7.72 eV/atom. The value obtained for the total magnetization is 0.00 Bohr magnetons per cell.

Material: Co2AgRh
Method: DFT, PBE
State: optimized geometry

The structure belongs to space group Pm (No. 6); the cell edges are 2.694, 4.046 and 5.197 Å and the angles 90.00°, 105.01° and 90.00°. The distinct sites, in fractional coordinates, are Co at (0.000, 0.000, 0.000), Co at (0.124, 0.500, 0.242), Ag at (0.382, 0.500, 0.762) and Rh at (0.726, 0.000, 0.447).

As for the formation enthalpy at 0 K: 0.27 eV/atom. The total energy is -5.84 eV/atom. The value obtained for the total magnetization is 4.41 Bohr magnetons per cell.

Material: SmCu4P2
Method: DFT, PBE
State: optimized geometry

The structure belongs to space group P4_2/mnm (No. 136); the cell edges are 7.317, 7.317 and 3.824 Å and the angles 90.00°, 90.00° and 90.00°. The distinct sites, in fractional coordinates, are Sm at (0.000, 0.000, 0.000), Cu at (0.084, 0.336, 0.500) and P at (0.214, 0.786, 0.500).

As for the formation enthalpy at 0 K: -0.54 eV/atom. The total energy is -5.10 eV/atom. The value obtained for the total magnetization is 0.00 Bohr magnetons per cell.

Material: Ac2BeBi
Method: DFT, PBE
State: optimized geometry

The structure belongs to space group Fm-3m (No. 225); the cell edges are 8.047, 8.047 and 8.047 Å and the angles 90.00°, 90.00° and 90.00°. The distinct sites, in fractional coordinates, are Ac at (0.250, 0.250, 0.250), Be at (0.000, 0.000, 0.000) and Bi at (0.000, 0.000, 0.500).

As for the formation enthalpy at 0 K: -0.07 eV/atom. The total energy is -4.03 eV/atom. For the relative energy among the computed polymorphs, the calculation gives 45 meV per atom. The value obtained for the total magnetization is 0.00 Bohr magnetons per cell.

Material: K2U2S5
Method: DFT, PBE
State: optimized geometry

The structure belongs to space group C2/m (No. 12); the cell edges are 13.883, 5.331 and 8.195 Å and the angles 90.00°, 123.48° and 90.00°. The distinct sites, in fractional coordinates, are K at (0.126, 0.000, 0.462), U at (0.108, 0.500, 0.896), S at (0.000, 0.500, 0.500), S at (0.116, 0.500, 0.224) and S at (0.151, 0.000, 0.908).

The total energy is -6.40 eV/atom. For the relative energy among the computed polymorphs, the calculation gives 54 meV per atom. The value obtained for the total magnetization is 8.00 Bohr magnetons per cell. The value obtained for the formation energy (no corrections) is -1.359 eV/atom.

Material: Lu2ReH
Method: DFT, PBE
State: optimized geometry

The structure belongs to space group R-3m (No. 166, hexagonal axes); the cell edges are 3.0282, 3.0282 and 25.4880 Å and the angles 90.00°, 90.00° and 120.00°. The distinct sites, in fractional coordinates, are Lu at (0.0000, 0.0000, 0.1070), Re at (0.0000, 0.0000, 0.0000) and H at (0.0000, 0.0000, 0.5000).

The total energy is -5.70 eV/atom. The value obtained for the total magnetization is 0.00 Bohr magnetons per cell.